Record 1
DFT (GGA-PBE) results for GdHfNb4 after structural relaxation.

Values from the calculation:
energy of formation from the pure elements = 0.15 eV/atom
magnetic moment = 8.36 Bohr magnetons per cell
calculated volume = 21.1 Å³ per atom
VASP energy = -63.40 eV for the cell shown

a b c (Å): 5.6404 5.6404 5.6404
angles (deg): 60.00 60.00 60.00
Fractional coordinates of all 6 atoms:
1 Nb 0.1251 0.6250 0.6250
2 Nb 0.6250 0.6250 0.6250
3 Nb 0.6250 0.1251 0.6250
4 Hf 0.0000 0.0000 0.0000
5 Nb 0.6250 0.6250 0.1251
6 Gd 0.2500 0.2500 0.2500

=====

Record 2
DFT (GGA-PBE) results for ZrBr2Cl after structural relaxation.

Values from the calculation:
magnetic moment = 0.27 Bohr magnetons per cell
calculated volume = 36.2 Å³ per atom
formation energy without anion corrections = -1.41 eV per atom
polymorph energy (0 for the lowest one) = 4.1 meV/atom
VASP energy = -19.40 eV for the cell shown

a b c (Å): 6.9697 6.9697 7.2283
angles (deg): 62.37 62.37 28.01
Fractional coordinates of all 4 atoms:
1 Cl 0.6047 0.6047 0.3690
2 Zr 0.2471 0.2471 0.3747
3 Br 0.7477 0.7477 0.6664
4 Br 0.9006 0.9006 0.0898

=====

Record 3
DFT (GGA-PBE) results for Al2InAs after structural relaxation.

Values from the calculation:
energy of formation from the pure elements = 0.08 eV/atom
magnetic moment = 0.00 Bohr magnetons per cell
calculated volume = 20.9 Å³ per atom
polymorph energy (0 for the lowest one) = 102.4 meV/atom
VASP energy = -14.56 eV for the cell shown

a b c (Å): 3.7892 2.9823 7.3987
angles (deg): 90.00 90.00 90.00
Fractional coordinates of all 4 atoms:
1 Al 0.0000 0.2502 0.0097
2 Al 0.0000 0.2498 0.4903
3 In 0.5000 0.7500 0.7500
4 As 0.5000 0.2500 0.2500

=====

Record 4
DFT (GGA-PBE) results for PrDy2Y4Tm2 after structural relaxation.

Values from the calculation:
energy of formation from the pure elements = 0.00 eV/atom
magnetic moment = 0.00 Bohr magnetons per cell
calculated volume = 32.1 Å³ per atom
VASP energy = -48.76 eV for the cell shown

a b c (Å): 3.5950 9.4998 9.5494
angles (deg): 115.23 90.00 100.91
Fractional coordinates of all 9 atoms:
1 Dy 0.1486 0.2973 0.6682
2 Tm 0.6686 0.3371 0.0000
3 Tm 0.3314 0.6629 0.0000
4 Y 0.1861 0.3723 0.3343
5 Pr 0.0000 0.0000 0.0000
6 Y 0.4811 0.9623 0.6637
7 Y 0.8139 0.6277 0.6657
8 Y 0.5189 0.0377 0.3363
9 Dy 0.8514 0.7027 0.3318

=====

Record 5
DFT (GGA-PBE) results for Li4GaPd3 after structural relaxation.

Values from the calculation:
energy of formation from the pure elements = -0.48 eV/atom
magnetic moment = 0.00 Bohr magnetons per cell
calculated volume = 14.2 Å³ per atom
VASP energy = -30.09 eV for the cell shown

a b c (Å): 2.9537 4.3800 9.1448
angles (deg): 76.15 99.29 90.00
Fractional coordinates of all 8 atoms:
1 Li 0.2467 0.2532 0.4934
2 Li 0.3802 0.6179 0.7604
3 Li 0.6198 0.3821 0.2396
4 Pd 0.0000 0.5000 0.0000
5 Li 0.7533 0.7468 0.5066
6 Ga 0.5000 0.0000 0.0000
7 Pd 0.1266 0.8752 0.2532
8 Pd 0.8734 0.1248 0.7468

=====

Record 6
DFT (GGA-PBE) results for Sr2Si2Ag after structural relaxation.

Values from the calculation:
magnetic moment = 0.00 Bohr magnetons per cell
calculated volume = 25.7 Å³ per atom
formation energy without anion corrections = -0.25 eV per atom
polymorph energy (0 for the lowest one) = 142.2 meV/atom
VASP energy = -18.33 eV for the cell shown

a b c (Å): 4.3928 4.4149 6.9743
angles (deg): 108.45 90.00 90.00
Fractional coordinates of all 5 atoms:
1 Si 0.5000 0.4989 0.9978
2 Ag 0.5000 0.1114 0.2227
3 Sr 0.0000 0.9294 0.8588
4 Sr 0.0000 0.6841 0.3681
5 Si 0.5000 0.3184 0.6368

=====

Record 7
DFT (GGA-PBE) results for AcTbAlHg after structural relaxation.

Values from the calculation:
energy of formation from the pure elements = -0.32 eV/atom
magnetic moment = 0.00 Bohr magnetons per cell
calculated volume = 29.1 Å³ per atom
VASP energy = -14.06 eV for the cell shown

a b c (Å): 5.4794 5.4794 5.4794
angles (deg): 60.00 60.00 60.00
Fractional coordinates of all 4 atoms:
1 Hg 0.2500 0.2500 0.2500
2 Ac 0.5000 0.5000 0.5000
3 Tb 0.0000 0.0000 0.0000
4 Al 0.7500 0.7500 0.7500

=====

Record 8
DFT (GGA-PBE) results for K4Ag3Cl12 after structural relaxation.

Values from the calculation:
magnetic moment = 1.19 Bohr magnetons per cell
calculated volume = 35.9 Å³ per atom
formation energy without anion corrections = -0.98 eV per atom
VASP energy = -53.77 eV for the cell shown

a b c (Å): 9.6069 9.6069 9.6069
angles (deg): 109.47 109.47 109.47
Fractional coordinates of all 19 atoms:
1 Cl 0.1512 0.6517 0.8030
2 Ag 0.0000 0.5000 0.5000
3 K 0.5000 0.0000 0.0000
4 Cl 0.6517 0.8030 0.1512
5 Cl 0.1970 0.8488 0.3483
6 Cl 0.8488 0.3483 0.1970
7 Cl 0.4995 0.1512 0.3483
8 Cl 0.1512 0.3483 0.4995
9 K 0.0000 0.5000 0.0000
10 Cl 0.8030 0.1512 0.6517
11 Cl 0.6517 0.5005 0.8488
12 Cl 0.5005 0.8488 0.6517
13 Ag 0.5000 0.0000 0.5000
14 Cl 0.3483 0.1970 0.8488
15 K 0.0000 0.0000 0.5000
16 K 0.5000 0.5000 0.5000
17 Ag 0.5000 0.5000 0.0000
18 Cl 0.8488 0.6517 0.5005
19 Cl 0.3483 0.4995 0.1512

=====

Record 9
DFT (GGA-PBE) results for Li2HgOs after structural relaxation.

Values from the calculation:
energy of formation from the pure elements = 0.32 eV/atom
magnetic moment = 0.00 Bohr magnetons per cell
calculated volume = 15.9 Å³ per atom
VASP energy = -14.08 eV for the cell shown

a b c (Å): 2.6685 4.3809 5.4437
angles (deg): 90.00 90.00 90.00
Fractional coordinates of all 4 atoms:
1 Li 0.0000 0.0000 0.0004
2 Li 0.5000 0.5000 0.2634
3 Hg 0.5000 0.5000 0.7471
4 Os 0.0000 0.0000 0.4892

=====

Record 10
DFT (GGA-PBE) results for PrSm6Sc3 after structural relaxation.

Values from the calculation:
energy of formation from the pure elements = 0.16 eV/atom
magnetic moment = 0.00 Bohr magnetons per cell
calculated volume = 31.3 Å³ per atom
polymorph energy (0 for the lowest one) = 0.0 meV/atom
VASP energy = -100.90 eV for the cell shown

a b c (Å): 6.2360 11.4371 11.4371
angles (deg): 129.78 90.00 90.00
Fractional coordinates of all 20 atoms:
1 Sm 0.5167 0.6513 0.7008
2 Sc 0.8907 0.0671 0.2918
3 Pr 0.2678 0.2340 0.7660
4 Sm 0.3464 0.0027 0.3955
5 Sm 0.3464 0.6045 0.9973
6 Sc 0.3907 0.9329 0.7082
7 Sm 0.3426 0.9524 0.0476
8 Sc 0.6677 0.6104 0.3896
9 Sc 0.8907 0.7082 0.9329
10 Pr 0.7678 0.7660 0.2340
11 Sm 0.6996 0.3350 0.6650
12 Sm 0.0167 0.7008 0.6513
13 Sm 0.5167 0.2992 0.3487
14 Sm 0.8464 0.3955 0.0027
15 Sc 0.1677 0.3896 0.6104
16 Sm 0.8426 0.0476 0.9524
17 Sm 0.1996 0.6650 0.3350
18 Sc 0.3907 0.2918 0.0671
19 Sm 0.0167 0.3487 0.2992
20 Sm 0.8464 0.9973 0.6045

=====

Record 11
DFT (GGA-PBE) results for Hf3Al after structural relaxation.

Values from the calculation:
energy of formation from the pure elements = -0.16 eV/atom
magnetic moment = 0.00 Bohr magnetons per cell
calculated volume = 20.8 Å³ per atom
VASP energy = -34.25 eV for the cell shown

a b c (Å): 3.1174 5.3039 5.8937
angles (deg): 116.74 105.34 90.00
Fractional coordinates of all 4 atoms:
1 Al 0.0000 0.0054 0.0000
2 Hf 0.7403 0.0794 0.4807
3 Hf 0.5000 0.4831 0.0000
4 Hf 0.2597 0.5988 0.5193

=====

Record 12
DFT (GGA-PBE) results for Hf2Zr2Ge after structural relaxation.

Values from the calculation:
energy of formation from the pure elements = -0.02 eV/atom
magnetic moment = 0.00 Bohr magnetons per cell
calculated volume = 22.2 Å³ per atom
polymorph energy (0 for the lowest one) = 0.0 meV/atom
VASP energy = -83.42 eV for the cell shown

a b c (Å): 7.1592 7.1592 4.3408
angles (deg): 90.00 90.00 90.00
Fractional coordinates of all 10 atoms:
1 Ge 0.5000 0.5000 0.0000
2 Zr 0.1464 0.3536 0.0000
3 Ge 0.0000 0.0000 0.0000
4 Hf 0.3429 0.1571 0.5000
5 Hf 0.6571 0.8429 0.5000
6 Hf 0.8429 0.3429 0.5000
7 Zr 0.8536 0.6464 0.0000
8 Hf 0.1571 0.6571 0.5000
9 Zr 0.3536 0.8536 0.0000
10 Zr 0.6464 0.1464 0.0000